Version i
Crystalline NaMg2I at its relaxed geometry, computed with PBE-GGA.

```
data_NaMg2I
_space_group_name_H-M_alt 'I -4 2 d'
_space_group_IT_number 122
_space_group_name_Hall 'I -4 2bw'
_cell_length_a 9.311
_cell_length_b 9.311
_cell_length_c 6.175
_cell_angle_alpha 90.00
_cell_angle_beta 90.00
_cell_angle_gamma 90.00
loop_
_atom_site_label
_atom_site_fract_x
_atom_site_fract_y
_atom_site_fract_z
Na1 0.000 0.000 0.000
Mg1 0.225 0.250 0.625
I1 0.000 0.000 0.500
```

Version ii
Crystalline NaMg2I at its relaxed geometry, computed with PBE-GGA.

```
data_NaMg2I
_space_group_name_H-M_alt 'F m -3 m'
_space_group_IT_number 225
_space_group_name_Hall '-F 4 2 3'
_cell_length_a 8.160
_cell_length_b 8.160
_cell_length_c 8.160
_cell_angle_alpha 90.00
_cell_angle_beta 90.00
_cell_angle_gamma 90.00
loop_
_atom_site_label
_atom_site_fract_x
_atom_site_fract_y
_atom_site_fract_z
Na1 0.000 0.000 0.000
Mg1 0.250 0.250 0.250
I1 0.000 0.000 0.500
```

Most favorable structure: version i. The second most favorable one is 304 meV per atom above it.

Version i
Crystalline Na2MgI at its relaxed geometry, computed with PBE-GGA.

```
data_Na2MgI
_space_group_name_H-M_alt 'F m -3 m'
_space_group_IT_number 225
_space_group_name_Hall '-F 4 2 3'
_cell_length_a 8.211
_cell_length_b 8.211
_cell_length_c 8.211
_cell_angle_alpha 90.00
_cell_angle_beta 90.00
_cell_angle_gamma 90.00
loop_
_atom_site_label
_atom_site_fract_x
_atom_site_fract_y
_atom_site_fract_z
Na1 0.250 0.250 0.250
Mg1 0.000 0.000 0.000
I1 0.000 0.000 0.500
```

Version ii
Crystalline Na2MgI at its relaxed geometry, computed with PBE-GGA.

```
data_Na2MgI
_space_group_name_H-M_alt 'I -4 2 d'
_space_group_IT_number 122
_space_group_name_Hall 'I -4 2bw'
_cell_length_a 8.753
_cell_length_b 8.753
_cell_length_c 7.764
_cell_angle_alpha 90.00
_cell_angle_beta 90.00
_cell_angle_gamma 90.00
loop_
_atom_site_label
_atom_site_fract_x
_atom_site_fract_y
_atom_site_fract_z
Na1 0.226 0.750 0.125
Mg1 0.000 0.000 0.500
I1 0.000 0.000 0.000
```

Most favorable structure: version ii. The second most favorable one is 40 meV per atom above it.

Version i
Crystalline Na2MgI4 at its relaxed geometry, computed with PBE-GGA.

```
data_Na2MgI4
_space_group_name_H-M_alt 'I -4 2 m'
_space_group_IT_number 121
_space_group_name_Hall 'I -4 2'
_cell_length_a 7.392
_cell_length_b 7.392
_cell_length_c 12.483
_cell_angle_alpha 90.00
_cell_angle_beta 90.00
_cell_angle_gamma 90.00
loop_
_atom_site_label
_atom_site_fract_x
_atom_site_fract_y
_atom_site_fract_z
Na1 0.000 0.500 0.250
Mg1 0.000 0.000 0.000
I1 0.224 0.224 0.117
```

Version ii
Crystalline Na2MgI4 at its relaxed geometry, computed with PBE-GGA.

```
data_Na2MgI4
_space_group_name_H-M_alt 'I 4/m m m'
_space_group_IT_number 139
_space_group_name_Hall '-I 4 2'
_cell_length_a 5.877
_cell_length_b 5.877
_cell_length_c 15.979
_cell_angle_alpha 90.00
_cell_angle_beta 90.00
_cell_angle_gamma 90.00
loop_
_atom_site_label
_atom_site_fract_x
_atom_site_fract_y
_atom_site_fract_z
Na1 0.000 0.000 0.131
Mg1 0.000 0.000 0.500
I1 0.000 0.000 0.322
I2 0.000 0.500 0.000
```

Most favorable structure: version i. The second most favorable one is 114 meV per atom above it.